Below is a relaxed structure of CoHgNO, with properties calculated at the PBE with a Hubbard U level.

Cell: 3.2291 5.7132 5.9946 Å, 90.00 90.00 90.00°
Last column: nearest neighbours and their distance in Å.
Fractional positions:
1 Hg 0.0000 0.5304 0.3662  2 N 2.20-2.22, 2 O 2.43
2 Co 0.5000 0.9927 0.1362  2 O 1.88-1.90, 2 N 1.90
3 O 0.5000 0.8252 0.8660  2 Co 1.88-1.90
4 Co 0.5000 0.4927 0.8638  2 O 1.88-1.90, 2 N 1.90
5 N 0.0000 0.9057 0.2828  2 Co 1.90
6 O 0.5000 0.3252 0.1340  2 Co 1.88-1.90
7 Hg 0.0000 0.0304 0.6338  2 N 2.20-2.22, 2 O 2.43
8 N 0.0000 0.4057 0.7172  2 Co 1.90

Computed properties:
ρ = 8.69 g/cm³
total DFT energy (no corrections) = -4.43 eV per atom
excess energy over the best structure of this formula in the dataset = 0.0 meV per atom
V = 13.8 Å³/atom